{
  "formula": "BaVW2O",
  "functional": "PBE+U",
  "state": "relaxed",
  "cell": [[5.954, 0.000, 0.000], [0.000, 5.954, 0.000], [0.000, 0.000, 3.705]],
  "species": ["Ba", "V", "W", "W", "O"],
  "fractional_positions": [[0.000, 0.000, 0.000], [0.500, 0.500, 0.500], [0.000, 0.500, 0.500], [0.500, 0.000, 0.500], [0.500, 0.500, 0.000]],
  "vol_a3_per_cell": 131.3,
  "spacegroup": "No. 123",
  "dft_energy_ev_per_cell": -24.219
}